Compound: MoClF
Source: the Alexandria database
Functional: PBE with a Hubbard U
Structure: relaxed

Properties
Magnetization in μB per formula unit: 0.5
DOS at the Fermi energy in states/eV per cell: 1.143
Offset from the most stable computed form in meV per atom: 516
E_tot in eV/cell: -52.5
ρ in g/cm3: 4.330

CIF file:
```
data_MoClF
_chemical_formula_sum 'Mo4 Cl4 F4'
_cell_length_a 11.844
_cell_length_b 2.952
_cell_length_c 7.185
_cell_angle_alpha 90.00
_cell_angle_beta 113.28
_cell_angle_gamma 90.00
_symmetry_space_group_name_H-M 'C 1 2/m 1'
_symmetry_Int_Tables_number 12
loop_
_symmetry_equiv_pos_as_xyz
'x,y,z'
'-x,-y,-z'
'-x,y,-z'
'x,-y,z'
'x+1/2,y+1/2,z'
'-x+1/2,-y+1/2,-z'
'-x+1/2,y+1/2,-z'
'x+1/2,-y+1/2,z'
loop_
_atom_site_label
_atom_site_fract_x
_atom_site_fract_y
_atom_site_fract_z
Mo1 0.107 0.000 0.485
Cl1 0.088 0.000 0.805
F1 0.188 0.500 0.336
```